Entry 1:
Nd2PS5 PBE-GGA relaxed; density of states at the Fermi level = 1.46 states/eV/f.u.; uncorrected formation energy = -1155 meV per atom; space-group type = Cm (8)
1.0
4.3369 -5.0801 0.0000
4.3369 5.0801 0.0000
-3.5029 0.0000 4.5002
Nd P S
2 1 5
direct
0.2284 0.7716 0.0000 Nd
0.7716 0.2284 0.0000 Nd
0.4462 0.4462 0.4357 P
0.1545 0.1545 0.3230 S
0.1892 0.6654 0.4306 S
0.4112 0.4112 0.0334 S
0.6654 0.1892 0.4306 S
0.7666 0.7666 0.8464 S

Entry 2:
BaTlP4 PBE-GGA relaxed; density of states at the Fermi level = 5.08 states/eV/f.u.; ΔH_f (0 K) = -0.09 eV per atom; space-group type = F-43m (216)
1.0
0.0000 4.1284 4.1284
4.1284 0.0000 4.1284
4.1284 4.1284 0.0000
Ba Tl P
1 1 4
direct
0.0000 0.0000 0.0000 Ba
0.2500 0.2500 0.2500 Tl
0.1971 0.6010 0.6010 P
0.6010 0.1971 0.6010 P
0.6010 0.6010 0.1971 P
0.6010 0.6010 0.6010 P

Entry 3:
Sr2BiPPd6 PBE-GGA relaxed; density of states at the Fermi level = 2.76 states/eV/f.u.; ΔH_f (0 K) = -0.63 eV per atom; space-group type = Pmmn (59)
1.0
5.8096 0.0000 0.0000
0.0000 8.9882 0.0000
0.0000 0.0000 8.3858
Sr Bi P Pd
4 2 2 12
direct
0.2500 0.0104 0.2296 Sr
0.2500 0.4896 0.2296 Sr
0.7500 0.5104 0.7704 Sr
0.7500 0.9896 0.7704 Sr
0.2500 0.7500 0.7917 Bi
0.7500 0.2500 0.2083 Bi
0.2500 0.2500 0.7187 P
0.7500 0.7500 0.2813 P
0.0047 0.7500 0.5011 Pd
0.0140 0.2500 0.9440 Pd
0.2500 0.0061 0.6089 Pd
0.2500 0.4939 0.6089 Pd
0.4860 0.2500 0.9440 Pd
0.4953 0.7500 0.5011 Pd
0.5047 0.2500 0.4989 Pd
0.5140 0.7500 0.0560 Pd
0.7500 0.5061 0.3911 Pd
0.7500 0.9939 0.3911 Pd
0.9860 0.7500 0.0560 Pd
0.9953 0.2500 0.4989 Pd

Entry 4:
Ho4NiAu3 PBE-GGA relaxed; density of states at the Fermi level = 3.72 states/eV/f.u.; ΔH_f (0 K) = -0.78 eV per atom; space-group type = Pmm2 (25)
1.0
3.7234 0.0000 0.0000
0.0000 4.6150 0.0000
0.0000 0.0000 10.6462
Ho Ni Au
4 1 3
direct
0.0000 0.0000 0.0000 Ho
0.0000 0.5000 0.2631 Ho
0.5000 0.0000 0.4743 Ho
0.5000 0.5000 0.7689 Ho
0.5000 0.0000 0.2084 Ni
0.0000 0.0000 0.7168 Au
0.0000 0.5000 0.5383 Au
0.5000 0.5000 0.0479 Au

Entry 5:
Tb12Sn6Ir PBE-GGA relaxed; density of states at the Fermi level = 17.04 states/eV/f.u.; ΔH_f (0 K) = -0.45 eV per atom; space-group type = R-3 (148)
1.0
6.6161 3.8198 4.1011
-6.6161 3.8198 4.1011
0.0000 -7.6396 4.1011
Tb Sn Ir
12 6 1
direct
0.0210 0.6860 0.9421 Tb
0.0579 0.9790 0.3140 Tb
0.1946 0.4261 0.5607 Tb
0.3140 0.0579 0.9790 Tb
0.4261 0.5607 0.1946 Tb
0.4393 0.8054 0.5739 Tb
0.5607 0.1946 0.4261 Tb
0.5739 0.4393 0.8054 Tb
0.6860 0.9421 0.0210 Tb
0.8054 0.5739 0.4393 Tb
0.9421 0.0210 0.6860 Tb
0.9790 0.3140 0.0579 Tb
0.1230 0.6359 0.3093 Sn
0.3093 0.1230 0.6359 Sn
0.3641 0.6907 0.8770 Sn
0.6359 0.3093 0.1230 Sn
0.6907 0.8770 0.3641 Sn
0.8770 0.3641 0.6907 Sn
0.0000 0.0000 0.0000 Ir

Entry 6:
YTlFeCo PBE-GGA relaxed; density of states at the Fermi level = 3.86 states/eV/f.u.; ΔH_f (0 K) = 0.25 eV per atom; E above lowest polymorph = 22.9 kJ per mole of atoms; space-group type = Pmmm (47)
1.0
3.6567 0.0000 0.0000
0.0000 4.3595 0.0000
0.0000 0.0000 4.4783
Y Tl Fe Co
1 1 1 1
direct
0.0000 0.0000 0.0000 Y
0.0000 0.5000 0.5000 Tl
0.5000 0.0000 0.5000 Fe
0.5000 0.5000 0.0000 Co

Entry 7:
TlTcOs2O8 PBE-GGA relaxed; density of states at the Fermi level = 5.04 states/eV/f.u.; uncorrected formation energy = -881 meV per atom; space-group type = P-3 (147)
1.0
5.3995 0.0000 0.0000
-2.6998 4.6761 0.0000
0.0000 0.0000 8.3880
Tl Tc Os O
1 1 2 8
direct
0.0000 0.0000 0.0000 Tl
0.0000 0.0000 0.5000 Tc
0.3333 0.6667 0.7179 Os
0.6667 0.3333 0.2821 Os
0.0552 0.3195 0.6416 O
0.2643 0.9448 0.6416 O
0.3195 0.2643 0.3584 O
0.3333 0.6667 0.9296 O
0.6667 0.3333 0.0704 O
0.6805 0.7357 0.6416 O
0.7357 0.0552 0.3584 O
0.9448 0.6805 0.3584 O

Entry 8:
CsBN2F PBE-GGA relaxed; density of states at the Fermi level = 1.75 states/eV/f.u.; E above lowest polymorph = 199.2 kJ per mole of atoms; uncorrected formation energy = 2550 meV per atom; space-group type = P4/mmm (123)
1.0
5.0443 0.0000 0.0000
0.0000 5.0443 0.0000
0.0000 0.0000 5.3261
Cs B N F
1 1 2 1
direct
0.0000 0.0000 0.0000 Cs
0.5000 0.5000 0.5000 B
0.0000 0.5000 0.0000 N
0.5000 0.0000 0.0000 N
0.0000 0.0000 0.5000 F

Entry 9:
Li2Dy2Ni15 PBE-GGA relaxed; density of states at the Fermi level = 22.36 states/eV/f.u.; ΔH_f (0 K) = -0.23 eV per atom; space-group type = R-3m (166)
1.0
4.1595 2.4015 4.0249
-4.1595 2.4015 4.0249
0.0000 -4.8030 4.0249
Li Dy Ni
2 2 15
direct
0.0935 0.0935 0.0935 Li
0.9065 0.9065 0.9065 Li
0.3433 0.3433 0.3433 Dy
0.6567 0.6567 0.6567 Dy
0.0000 0.0000 0.5000 Ni
0.0000 0.3048 0.6952 Ni
0.0000 0.5000 0.0000 Ni
0.0000 0.6952 0.3048 Ni
0.1586 0.6567 0.6567 Ni
0.3048 0.0000 0.6952 Ni
0.3048 0.6952 0.0000 Ni
0.3433 0.3433 0.8414 Ni
0.3433 0.8414 0.3433 Ni
0.5000 0.0000 0.0000 Ni
0.6567 0.1586 0.6567 Ni
0.6567 0.6567 0.1586 Ni
0.6952 0.0000 0.3048 Ni
0.6952 0.3048 0.0000 Ni
0.8414 0.3433 0.3433 Ni

Entry 10:
Tb2YHg PBE-GGA relaxed; density of states at the Fermi level = 3.79 states/eV/f.u.; ΔH_f (0 K) = -0.16 eV per atom; E above lowest polymorph = 6.5 kJ per mole of atoms; space-group type = R-3m (166)
1.0
1.8126 1.0465 10.6157
-1.8126 1.0465 10.6157
0.0000 -2.0930 10.6157
Tb Y Hg
2 1 1
direct
0.2427 0.2427 0.2427 Tb
0.7573 0.7573 0.7573 Tb
0.0000 0.0000 0.0000 Y
0.5000 0.5000 0.5000 Hg

Entry 11:
Er3Sc3Tl2Fe PBE-GGA relaxed; density of states at the Fermi level = 11.87 states/eV/f.u.; ΔH_f (0 K) = -0.23 eV per atom; space-group type = P-62m (189)
1.0
8.2597 0.0000 0.0000
-4.1298 7.1531 0.0000
0.0000 0.0000 3.7509
Er Sc Tl Fe
3 3 2 1
direct
0.0000 0.6139 0.0000 Er
0.3861 0.3861 0.0000 Er
0.6139 0.0000 0.0000 Er
0.0000 0.2262 0.5000 Sc
0.2262 0.0000 0.5000 Sc
0.7738 0.7738 0.5000 Sc
0.3333 0.6667 0.5000 Tl
0.6667 0.3333 0.5000 Tl
0.0000 0.0000 0.0000 Fe

Entry 12:
TbPrCuNi PBE-GGA relaxed; density of states at the Fermi level = 2.64 states/eV/f.u.; ΔH_f (0 K) = -0.22 eV per atom; E above lowest polymorph = 4.8 kJ per mole of atoms; space-group type = F-43m (216)
1.0
0.0000 3.5072 3.5072
3.5072 0.0000 3.5072
3.5072 3.5072 0.0000
Tb Pr Cu Ni
1 1 1 1
direct
0.0000 0.0000 0.0000 Tb
0.5000 0.5000 0.5000 Pr
0.2500 0.2500 0.2500 Cu
0.7500 0.7500 0.7500 Ni

no.,spin magnetization (μB per atom)
1,0.0000
2,0.0000
3,0.0000
4,0.0000
5,0.0000
6,0.2861
7,0.1023
8,0.5921
9,0.2741
10,0.0000
11,0.0129
12,0.0000